Record 1
Computed, not measured: crystalline NbCd2HOs at its relaxed geometry at the GGA-PBE level of DFT.

Structure (CIF):
```
data_NbCd2HOs
_chemical_formula_sum 'Nb1 Cd2 H1 Os1'
_cell_length_a 5.3446
_cell_length_b 5.3446
_cell_length_c 3.2394
_cell_angle_alpha 90.00
_cell_angle_beta 90.00
_cell_angle_gamma 90.00
_space_group_name_H-M_alt 'P 4/m m m'
_space_group_IT_number 123
_space_group_name_Hall '-P 4 2'
loop_
_atom_site_label
_atom_site_fract_x
_atom_site_fract_y
_atom_site_fract_z
Nb1 0.0000 0.0000 0.0000
Cd1 0.0000 0.5000 0.0000
H1 0.0000 0.0000 0.5000
Os1 0.5000 0.5000 0.5000
```

Computed properties:
* D(E_F): 3.8 states/eV/cell

---

Record 2
Computed, not measured: crystalline SiNiAs2Br at its relaxed geometry at the GGA-PBE level of DFT.

Structure (CIF):
```
data_SiNiAs2Br
_chemical_formula_sum 'Si1 Ni1 As2 Br1'
_cell_length_a 4.7797
_cell_length_b 4.7797
_cell_length_c 4.9394
_cell_angle_alpha 90.00
_cell_angle_beta 90.00
_cell_angle_gamma 90.00
_space_group_name_H-M_alt 'P 4/m m m'
_space_group_IT_number 123
_space_group_name_Hall '-P 4 2'
loop_
_atom_site_label
_atom_site_fract_x
_atom_site_fract_y
_atom_site_fract_z
Si1 0.0000 0.0000 0.0000
Ni1 0.5000 0.5000 0.5000
As1 0.0000 0.5000 0.0000
Br1 0.0000 0.0000 0.5000
```

Computed properties:
* polymorph energy (0 for the lowest one): 319 meV per atom
* formation energy without anion corrections: 4.8 eV per formula unit
* D(E_F): 7.7 states/eV/cell

---

Record 3
Computed, not measured: crystalline BaDyEr at its relaxed geometry at the GGA-PBE level of DFT.

Structure (CIF):
```
data_BaDyEr
_chemical_formula_sum 'Ba2 Dy2 Er2'
_cell_length_a 3.7629
_cell_length_b 3.7629
_cell_length_c 16.2672
_cell_angle_alpha 90.00
_cell_angle_beta 90.00
_cell_angle_gamma 90.00
_space_group_name_H-M_alt 'I 4 m m'
_space_group_IT_number 107
_space_group_name_Hall 'I 4 -2'
loop_
_atom_site_label
_atom_site_fract_x
_atom_site_fract_y
_atom_site_fract_z
Ba1 0.0000 0.0000 0.0000
Dy1 0.0000 0.0000 0.3176
Er1 0.0000 0.0000 0.6820
```

Computed properties:
* calculated formation energy: 0.20 eV per atom
* D(E_F): 11.0 states/eV/cell

---

Record 4
Computed, not measured: crystalline Rb3Ho3CrSe8 at its relaxed geometry at the GGA-PBE level of DFT.

Structure (CIF):
```
data_Rb3Ho3CrSe8
_chemical_formula_sum 'Rb6 Ho6 Cr2 Se16'
_cell_length_a 14.0487
_cell_length_b 8.1003
_cell_length_c 9.4907
_cell_angle_alpha 90.00
_cell_angle_beta 119.63
_cell_angle_gamma 90.00
_space_group_name_H-M_alt 'C 1 2/m 1'
_space_group_IT_number 12
_space_group_name_Hall '-C 2y'
loop_
_atom_site_label
_atom_site_fract_x
_atom_site_fract_y
_atom_site_fract_z
Rb1 0.0000 0.0000 0.0000
Rb2 0.2500 0.2500 0.0000
Ho1 0.0000 0.5000 0.5000
Ho2 0.2500 0.2500 0.5000
Cr1 0.0000 0.0000 0.5000
Se1 0.0159 0.2300 0.3180
Se2 0.2141 0.0000 0.6821
Se3 0.2324 0.5000 0.6970
```

Computed properties:
* formation energy without anion corrections: -21.2 eV per formula unit
* D(E_F): 14.2 states/eV/cell

---

Record 5
Computed, not measured: crystalline Tb6PmZn2 at its relaxed geometry at the GGA-PBE level of DFT.

Structure (CIF):
```
data_Tb6PmZn2
_chemical_formula_sum 'Tb12 Pm2 Zn4'
_cell_length_a 12.5031
_cell_length_b 3.6512
_cell_length_c 11.8115
_cell_angle_alpha 90.00
_cell_angle_beta 108.88
_cell_angle_gamma 90.00
_space_group_name_H-M_alt 'C 1 2/m 1'
_space_group_IT_number 12
_space_group_name_Hall '-C 2y'
loop_
_atom_site_label
_atom_site_fract_x
_atom_site_fract_y
_atom_site_fract_z
Tb1 0.0229 0.0000 0.3323
Tb2 0.1878 0.5000 0.5886
Tb3 0.1905 0.5000 0.8745
Pm1 0.0000 0.0000 0.0000
Zn1 0.1501 0.5000 0.2092
```

Computed properties:
* polymorph energy (0 for the lowest one): 0 meV per atom
* calculated formation energy: -0.14 eV per atom
* D(E_F): 20.4 states/eV/cell

---

Record 6
Computed, not measured: crystalline Pm12Ir5Rh2 at its relaxed geometry at the GGA-PBE level of DFT.

Structure (CIF):
```
data_Pm12Ir5Rh2
_chemical_formula_sum 'Pm24 Ir10 Rh4'
_cell_length_a 16.4572
_cell_length_b 7.3711
_cell_length_c 9.1677
_cell_angle_alpha 90.00
_cell_angle_beta 105.42
_cell_angle_gamma 90.00
_space_group_name_H-M_alt 'C 1 2/m 1'
_space_group_IT_number 12
_space_group_name_Hall '-C 2y'
loop_
_atom_site_label
_atom_site_fract_x
_atom_site_fract_y
_atom_site_fract_z
Pm1 0.9999 0.0000 0.2429
Pm2 0.0141 0.5000 0.3033
Pm3 0.1546 0.2564 0.0692
Pm4 0.1738 0.2363 0.5991
Ir1 0.0000 0.5000 0.0000
Ir2 0.1841 0.0000 0.3331
Ir3 0.1952 0.0000 0.8579
Rh1 0.0000 0.2118 0.5000
```

Computed properties:
* calculated formation energy: -0.56 eV per atom
* D(E_F): 24.5 states/eV/cell

---

Record 7
Computed, not measured: crystalline Nd3Ga2Ge at its relaxed geometry at the GGA-PBE level of DFT.

Structure (CIF):
```
data_Nd3Ga2Ge
_chemical_formula_sum 'Nd12 Ga8 Ge4'
_cell_length_a 12.3189
_cell_length_b 4.1889
_cell_length_c 12.3783
_cell_angle_alpha 90.00
_cell_angle_beta 90.00
_cell_angle_gamma 90.00
_space_group_name_H-M_alt 'P n m a'
_space_group_IT_number 62
_space_group_name_Hall '-P 2ac 2n'
loop_
_atom_site_label
_atom_site_fract_x
_atom_site_fract_y
_atom_site_fract_z
Nd1 0.0614 0.2500 0.1221
Nd2 0.1179 0.7500 0.5544
Nd3 0.2078 0.2500 0.7916
Ga1 0.0183 0.7500 0.3087
Ga2 0.1885 0.7500 0.9918
Ge1 0.1315 0.2500 0.3697
```

Computed properties:
* calculated formation energy: -0.61 eV per atom
* D(E_F): 22.2 states/eV/cell

---

Record 8
Computed, not measured: crystalline KGa2Ge2 at its relaxed geometry at the GGA-PBE level of DFT.

Structure (CIF):
```
data_KGa2Ge2
_chemical_formula_sum 'K2 Ga4 Ge4'
_cell_length_a 8.4523
_cell_length_b 8.4523
_cell_length_c 3.1351
_cell_angle_alpha 90.00
_cell_angle_beta 90.00
_cell_angle_gamma 90.00
_space_group_name_H-M_alt 'P 4/m b m'
_space_group_IT_number 127
_space_group_name_Hall '-P 4 2ab'
loop_
_atom_site_label
_atom_site_fract_x
_atom_site_fract_y
_atom_site_fract_z
K1 0.0000 0.0000 0.0000
Ga1 0.1345 0.3655 0.0000
Ge1 0.1443 0.6443 0.5000
```

Computed properties:
* polymorph energy (0 for the lowest one): 193 meV per atom
* calculated formation energy: 0.06 eV per atom
* D(E_F): 5.1 states/eV/cell

---

| no. | size of the total moment (μB/atom) | calculated total energy (eV per atom) |
| --- | --- | --- |
| 1 | 0.419 | -3.94 |
| 2 | 0.167 | -3.47 |
| 3 | 0.000 | -3.49 |
| 4 | 0.156 | -5.02 |
| 5 | 0.000 | -4.04 |
| 6 | 0.000 | -6.66 |
| 7 | 0.000 | -4.77 |
| 8 | 0.000 | -3.22 |